Compound: BH3I
Source: Alexandria via LeMat-Bulk
Functional: PBEsol
Structure: optimized geometry

Its total energy is -2.58 eV/atom. As for the volume: 8.914 A^3/atom. The calculation puts the energy above the most stable polymorph in this dataset at 0 meV per atom. The calculation puts the magnetic moment at 0.00 μB/cell.

The space group is Pm-3m (No. 221) and the conventional cell measures 3.546, 3.546 and 3.546 Å, with angles of 90.00, 90.00 and 90.00 degrees. The inequivalent atoms are B at (0.000, 0.000, 0.000), H at (0.000, 0.000, 0.500) and I at (0.500, 0.500, 0.500).